No. 1
A geometry-optimized Ac8Sm6Dy structure. Source: the Alexandria database, functional GGA-PBE.

a b c (Å): 10.1195 10.1195 21.4354
angles (deg): 90.00 90.00 120.00
Space group R-3 (No. 148, hexagonal axes)
Asymmetric unit:
Ac  0.0000  0.0000  0.2289 [6 per cell]
Ac  0.0144  0.7133  0.6239 [18 per cell]
Sm  0.0007  0.6878  0.1297 [18 per cell]
Dy  0.0000  0.0000  0.5000 [3 per cell]

DFT formation energy in eV/atom: 0.2400
Electronic total energy in eV per atom: -4.146

***

No. 2
A geometry-optimized Ho3Tl2Cd4 structure. Source: the Alexandria database, functional GGA-PBE.

a b c (Å): 11.081 4.963 9.351
angles (deg): 90.00 118.87 90.00
Space group C2/m (No. 12)
Asymmetric unit:
Ho  0.000  0.000  0.000 [2 per cell]
Ho  0.166  0.500  0.670 [4 per cell]
Tl  0.107  0.500  0.271 [4 per cell]
Cd  0.071  0.000  0.409 [4 per cell]
Cd  0.214  0.500  0.041 [4 per cell]

DFT formation energy in eV/atom: -0.2798
Electronic total energy in eV per atom: -2.738

***

No. 3
A geometry-optimized AgPt2W structure. Source: the Alexandria database, functional GGA-PBE.

a b c (Å): 2.8249 2.8249 27.9894
angles (deg): 90.00 90.00 120.00
Space group R-3m (No. 166, hexagonal axes)
Asymmetric unit:
Ag  0.0000  0.0000  0.0000 [3 per cell]
Pt  0.0000  0.0000  0.2462 [6 per cell]
W  0.0000  0.0000  0.5000 [3 per cell]

DFT formation energy in eV/atom: -0.0881
Electronic total energy in eV per atom: -7.060
Relative energy among the computed polymorphs in eV per atom: 0.118

***

No. 4
A geometry-optimized LaYTa3 structure. Source: the Alexandria database, functional GGA-PBE.

a b c (Å): 5.019 5.019 5.019
angles (deg): 90.00 90.00 90.00
Space group Pm-3m (No. 221)
Asymmetric unit:
La  0.000  0.000  0.000 [1 per cell]
Y  0.500  0.500  0.500 [1 per cell]
Ta  0.000  0.000  0.500 [3 per cell]

DFT formation energy in eV/atom: 1.7117
Electronic total energy in eV per atom: -7.678
Relative energy among the computed polymorphs in eV per atom: 0.000

***

No. 5
A geometry-optimized TlIn2AgI4 structure. Source: the Alexandria database, functional GGA-PBE.

a b c (Å): 8.299 4.902 8.343
angles (deg): 90.00 109.08 90.00
Space group P2/m (No. 10)
Asymmetric unit:
Tl  0.000  0.000  0.000 [1 per cell]
In  0.500  0.000  0.500 [1 per cell]
In  0.500  0.500  0.000 [1 per cell]
Ag  0.000  0.500  0.500 [1 per cell]
I  0.218  0.500  0.286 [2 per cell]
I  0.241  0.000  0.739 [2 per cell]

Electronic total energy in eV per atom: -2.517

***

No. 6
A geometry-optimized UNb2C3 structure. Source: the Alexandria database, functional GGA-PBE.

a b c (Å): 3.301 3.301 13.945
angles (deg): 90.00 90.00 90.00
Space group I4/mmm (No. 139)
Asymmetric unit:
U  0.000  0.000  0.000 [2 per cell]
Nb  0.000  0.000  0.326 [4 per cell]
C  0.000  0.000  0.168 [4 per cell]
C  0.000  0.000  0.500 [2 per cell]

DFT formation energy in eV/atom: -0.3727
Electronic total energy in eV per atom: -10.223

***

No. 7
A geometry-optimized SnPb structure. Source: the Alexandria database, functional GGA-PBE.

a b c (Å): 6.328 6.328 6.328
angles (deg): 90.00 90.00 90.00
Space group Fm-3m (No. 225)
Asymmetric unit:
Sn  0.000  0.000  0.000 [4 per cell]
Pb  0.000  0.000  0.500 [4 per cell]

DFT formation energy in eV/atom: 0.1538
Electronic total energy in eV per atom: -3.702

***

No. 8
A geometry-optimized CaP2H2O7 structure. Source: the Alexandria database, functional GGA-PBE.

a b c (Å): 7.448 8.127 9.965
angles (deg): 90.00 100.51 90.00
Space group C2/c (No. 15)
Asymmetric unit:
Ca  0.000  0.000  0.000 [4 per cell]
P  0.165  0.384  0.191 [8 per cell]
H  0.214  0.296  0.652 [8 per cell]
O  0.000  0.473  0.250 [4 per cell]
O  0.096  0.238  0.105 [8 per cell]
O  0.196  0.174  0.674 [8 per cell]
O  0.243  0.021  0.374 [8 per cell]

Electronic total energy in eV per atom: -6.701